DFT (GGA-PBEsol) results for an optimized crystal structure of LaYTl2.

Computed properties:
- E_form: -1.77 eV/f.u.
- Total moment: 0.0 Bohr magnetons per cell
- DFT total energy: -4.80 eV/atom

The structure in CIF format:
```
data_LaYTl2
_symmetry_space_group_name_H-M 'C m m m'
_symmetry_Int_Tables_number 65
_symmetry_space_group_name_Hall '-C 2 2'
_cell_length_a 7.0420
_cell_length_b 8.8923
_cell_length_c 3.5233
_cell_angle_alpha 90.00
_cell_angle_beta 90.00
_cell_angle_gamma 90.00
loop_
_atom_site_label
_atom_site_fract_x
_atom_site_fract_y
_atom_site_fract_z
_atom_site_occupancy
La1 0.0000 0.0000 0.0000 1
Y1 0.0000 0.5000 0.0000 1
Tl1 0.2500 0.2500 0.5000 1
```



DFT (GGA-PBEsol) results for an optimized crystal structure of Ir2Rh.

Computed properties:
- E_form: 0.12 eV/f.u.
- Total moment: 0.0 Bohr magnetons per cell
- DFT total energy: -9.22 eV/atom
- E above lowest polymorph: 0.0648 eV/atom

The structure in CIF format:
```
data_Ir2Rh
_symmetry_space_group_name_H-M 'C m c m'
_symmetry_Int_Tables_number 63
_symmetry_space_group_name_Hall '-C 2c 2'
_cell_length_a 8.1146
_cell_length_b 4.6884
_cell_length_c 4.3825
_cell_angle_alpha 90.00
_cell_angle_beta 90.00
_cell_angle_gamma 90.00
loop_
_atom_site_label
_atom_site_fract_x
_atom_site_fract_y
_atom_site_fract_z
_atom_site_occupancy
Ir1 0.1671 0.1655 0.2500 1
Rh1 0.0000 0.3318 0.7500 1
```



DFT (GGA-PBEsol) results for an optimized crystal structure of CaCuIr3.

Computed properties:
- E_form: 5.14 eV/f.u.
- Total moment: 0.0 Bohr magnetons per cell
- DFT total energy: -6.16 eV/atom

The structure in CIF format:
```
data_CaCuIr3
_symmetry_space_group_name_H-M 'P m -3 m'
_symmetry_Int_Tables_number 221
_symmetry_space_group_name_Hall '-P 4 2 3'
_cell_length_a 4.5069
_cell_length_b 4.5069
_cell_length_c 4.5069
_cell_angle_alpha 90.00
_cell_angle_beta 90.00
_cell_angle_gamma 90.00
loop_
_atom_site_label
_atom_site_fract_x
_atom_site_fract_y
_atom_site_fract_z
_atom_site_occupancy
Ca1 0.0000 0.0000 0.0000 1
Cu1 0.5000 0.5000 0.5000 1
Ir1 0.0000 0.5000 0.5000 1
```